! PBE TaPS2Cl, relaxed; values from VASP
&SYSTEM
  ibrav = 0, nat = 5, ntyp = 4
/
ATOMIC_SPECIES
Ta 180.95 Ta.upf
P 30.97 P.upf
S 32.06 S.upf
Cl 35.45 Cl.upf
ATOMIC_POSITIONS angstrom
Ta 0.000 0.000 0.000
P 2.404 2.404 2.455
S 2.404 0.000 0.000
S 0.000 2.404 0.000
Cl 0.000 0.000 2.455
CELL_PARAMETERS angstrom
4.808 0.000 0.000
0.000 4.808 0.000
0.000 0.000 4.909
! N(E_F) = 2.5 states/eV per cell
! M_tot = 2.66 μB per cell
! excess energy over the best structure of this formula in the dataset = 0.129 eV per atom
! formation energy without anion corrections = 0.695 eV/f.u.
! space group = P4/mmm, No. 123



! PBE Pu2PaPt, relaxed; values from VASP
&SYSTEM
  ibrav = 0, nat = 4, ntyp = 3
/
ATOMIC_SPECIES
Pt 195.08 Pt.upf
Pa 231.04 Pa.upf
Pu 244.00 Pu.upf
ATOMIC_POSITIONS angstrom
Pt -1.346 -1.720 1.207
Pa -2.827 0.859 3.230
Pu -0.675 1.175 0.922
Pu -2.287 3.982 3.123
CELL_PARAMETERS angstrom
-3.179 -1.460 -0.466
0.487 -1.980 2.880
-2.962 5.157 4.045
! energy of formation = -128 kJ/mol of formula units
! N(E_F) = 11.9 states/eV per cell
! M_tot = 10.31 μB per cell
! excess energy over the best structure of this formula in the dataset = 0.020 eV per atom
! space group = P4/mmm, No. 123



! PBE LiHo2Sc, relaxed; values from VASP
&SYSTEM
  ibrav = 0, nat = 4, ntyp = 3
/
ATOMIC_SPECIES
Li 6.94 Li.upf
Ho 164.93 Ho.upf
Sc 44.96 Sc.upf
ATOMIC_POSITIONS angstrom
Li -5.242 3.697 -1.067
Ho -2.621 1.848 -0.533
Ho -7.864 5.545 -1.600
Sc 0.000 0.000 0.000
CELL_PARAMETERS angstrom
-3.695 1.359 -3.563
-4.956 1.055 1.586
-1.834 4.980 -0.156
! energy of formation = 60 kJ/mol of formula units
! N(E_F) = 4.1 states/eV per cell
! M_tot = 0.00 μB per cell
! excess energy over the best structure of this formula in the dataset = 0.071 eV per atom
! space group = Fm-3m, No. 225



! PBE Y9Tm4Th, relaxed; values from VASP
&SYSTEM
  ibrav = 0, nat = 28, ntyp = 3
/
ATOMIC_SPECIES
Y 88.91 Y.upf
Th 232.04 Th.upf
Tm 168.93 Tm.upf
ATOMIC_POSITIONS angstrom
Y 8.429 7.748 0.000
Y 10.905 4.916 4.866
Y 5.286 6.673 -1.825
Y 0.333 3.513 0.000
Y 10.905 1.756 6.691
Y 5.952 1.756 6.691
Y 5.952 4.916 4.866
Y 2.810 3.874 3.023
Y 8.429 4.555 1.844
Y 5.952 1.756 3.042
Y 0.333 6.673 -1.825
Y 0.333 6.673 1.825
Y 5.286 6.673 1.825
Y 10.905 1.756 3.042
Y 2.810 3.874 6.710
Y 8.429 4.555 -1.844
Y 5.286 3.513 0.000
Y 2.810 0.681 4.866
Th 2.810 5.619 0.000
Th 8.429 2.810 4.866
Tm 2.810 6.569 4.866
Tm 2.810 0.930 8.122
Tm 8.429 1.860 0.000
Tm 0.000 0.000 0.000
Tm 5.619 0.000 0.000
Tm 2.810 0.930 1.611
Tm 8.429 7.499 -3.256
Tm 8.429 7.499 3.256
CELL_PARAMETERS angstrom
11.238 0.000 0.000
0.000 8.429 -4.866
0.000 0.000 9.733
! energy of formation = 242 kJ/mol of formula units
! N(E_F) = 44.8 states/eV per cell
! M_tot = 0.00 μB per cell
! space group = P6_3/mmc, No. 194



! PBE TcH3Ir, relaxed; values from VASP
&SYSTEM
  ibrav = 0, nat = 5, ntyp = 3
/
ATOMIC_SPECIES
H 1.01 H.upf
Ir 192.22 Ir.upf
Tc 98.00 Tc.upf
ATOMIC_POSITIONS angstrom
H -1.709 -0.083 0.087
H -0.082 -0.107 -1.708
H 0.089 -1.708 0.102
Ir 0.000 0.000 0.000
Tc -1.702 -1.898 -1.519
CELL_PARAMETERS angstrom
-0.163 -0.213 -3.416
0.177 -3.416 0.205
-3.418 -0.167 0.174
! N(E_F) = 2.0 states/eV per cell
! M_tot = 0.00 μB per cell
! excess energy over the best structure of this formula in the dataset = 0.000 eV per atom
! space group = Pm-3m, No. 221



! PBE LiIrBr2, relaxed; values from VASP
&SYSTEM
  ibrav = 0, nat = 4, ntyp = 3
/
ATOMIC_SPECIES
Br 79.90 Br.upf
Ir 192.22 Ir.upf
Li 6.94 Li.upf
ATOMIC_POSITIONS angstrom
Br 1.916 -4.547 -0.119
Br 0.000 0.000 0.000
Ir -0.067 -3.973 1.418
Li 3.240 -2.565 0.852
CELL_PARAMETERS angstrom
-1.391 -5.955 0.447
5.223 -3.139 -0.686
1.257 -1.991 2.389
! N(E_F) = 3.2 states/eV per cell
! M_tot = 0.00 μB per cell
! excess energy over the best structure of this formula in the dataset = 0.320 eV per atom
! formation energy without anion corrections = 0.007 eV/f.u.
! space group = C2/m, No. 12



! PBE TiIBr2, relaxed; values from VASP
&SYSTEM
  ibrav = 0, nat = 4, ntyp = 3
/
ATOMIC_SPECIES
I 126.90 I.upf
Br 79.90 Br.upf
Ti 47.87 Ti.upf
ATOMIC_POSITIONS angstrom
I 0.000 2.892 1.775
Br 0.000 4.904 -1.187
Br 1.733 0.116 5.244
Ti 1.733 4.844 0.771
CELL_PARAMETERS angstrom
3.465 0.000 0.000
-1.733 6.358 -3.388
0.000 -0.518 7.281
! N(E_F) = 2.3 states/eV per cell
! M_tot = 1.00 μB per cell
! excess energy over the best structure of this formula in the dataset = 0.000 eV per atom
! formation energy without anion corrections = -3.881 eV/f.u.
! space group = Cm, No. 8



! PBE LiCa2CdS, relaxed; values from VASP
&SYSTEM
  ibrav = 0, nat = 5, ntyp = 4
/
ATOMIC_SPECIES
Ca 40.08 Ca.upf
Cd 112.41 Cd.upf
Li 6.94 Li.upf
S 32.06 S.upf
ATOMIC_POSITIONS angstrom
Ca 2.336 -1.395 0.033
Ca -1.226 -2.082 -1.252
Cd 0.544 -4.376 0.829
Li -0.566 -0.899 2.048
S 0.000 0.000 0.000
CELL_PARAMETERS angstrom
-2.452 -4.164 -2.504
4.672 -2.791 0.066
-1.132 -1.797 4.097
! N(E_F) = 3.3 states/eV per cell
! M_tot = 0.00 μB per cell
! formation energy without anion corrections = -4.152 eV/f.u.
! space group = P4/mmm, No. 123



! PBE CdAsPH, relaxed; values from VASP
&SYSTEM
  ibrav = 0, nat = 4, ntyp = 4
/
ATOMIC_SPECIES
H 1.01 H.upf
Cd 112.41 Cd.upf
P 30.97 P.upf
As 74.92 As.upf
ATOMIC_POSITIONS angstrom
H 2.172 2.959 1.716
Cd 2.164 0.716 0.013
P 0.205 0.187 1.848
As 0.206 0.300 4.093
CELL_PARAMETERS angstrom
3.919 -0.008 -0.003
-1.951 4.211 -0.009
-0.002 -2.112 5.118
! N(E_F) = 1.3 states/eV per cell
! M_tot = 0.00 μB per cell
! excess energy over the best structure of this formula in the dataset = 0.022 eV per atom
! space group = Cm, No. 8



! PBE GdHoPdRh, relaxed; values from VASP
&SYSTEM
  ibrav = 0, nat = 4, ntyp = 4
/
ATOMIC_SPECIES
Pd 106.42 Pd.upf
Gd 157.25 Gd.upf
Rh 102.91 Rh.upf
Ho 164.93 Ho.upf
ATOMIC_POSITIONS angstrom
Pd -0.138 -2.924 0.705
Gd 0.000 0.000 0.000
Rh -0.415 -8.771 2.115
Ho -0.277 -5.847 1.410
CELL_PARAMETERS angstrom
-2.972 -3.652 1.415
0.760 -4.568 -1.652
1.659 -3.475 3.056
! energy of formation = -331 kJ/mol of formula units
! N(E_F) = 2.2 states/eV per cell
! M_tot = 7.06 μB per cell
! space group = F-43m, No. 216



! PBE Cs2Hg5Au4, relaxed; values from VASP
&SYSTEM
  ibrav = 0, nat = 11, ntyp = 3
/
ATOMIC_SPECIES
Hg 200.59 Hg.upf
Au 196.97 Au.upf
Cs 132.91 Cs.upf
ATOMIC_POSITIONS angstrom
Hg -2.957 -0.529 1.439
Hg -2.792 1.956 -0.774
Hg -4.721 4.121 3.767
Hg -7.512 6.077 2.993
Hg -5.749 1.427 0.666
Au -4.930 6.992 3.884
Au -9.191 7.530 4.829
Au -7.303 3.205 2.876
Au -3.042 2.667 1.931
Cs -4.999 5.443 0.216
Cs -1.320 5.812 3.666
CELL_PARAMETERS angstrom
-5.583 3.911 -1.547
-5.914 -1.057 2.879
-0.736 7.343 5.429
! energy of formation = -174 kJ/mol of formula units
! N(E_F) = 2.5 states/eV per cell
! M_tot = 0.00 μB per cell
! excess energy over the best structure of this formula in the dataset = 0.000 eV per atom
! space group = Fmmm, No. 69



! PBE Na3MgHg, relaxed; values from VASP
&SYSTEM
  ibrav = 0, nat = 5, ntyp = 3
/
ATOMIC_SPECIES
Mg 24.30 Mg.upf
Na 22.99 Na.upf
Hg 200.59 Hg.upf
ATOMIC_POSITIONS angstrom
Mg 0.000 2.037 6.918
Na 1.655 1.896 1.282
Na 0.000 4.117 3.715
Na 1.655 4.665 0.467
Hg 1.655 4.859 6.233
CELL_PARAMETERS angstrom
3.310 0.000 0.000
0.000 5.563 -1.638
0.000 -0.432 8.798
! energy of formation = 34 kJ/mol of formula units
! N(E_F) = 1.3 states/eV per cell
! M_tot = 0.00 μB per cell
! excess energy over the best structure of this formula in the dataset = 0.000 eV per atom
! space group = Amm2, No. 38



! PBE BeNbCd2Br, relaxed; values from VASP
&SYSTEM
  ibrav = 0, nat = 5, ntyp = 4
/
ATOMIC_SPECIES
Cd 112.41 Cd.upf
Be 9.01 Be.upf
Nb 92.91 Nb.upf
Br 79.90 Br.upf
ATOMIC_POSITIONS angstrom
Cd 1.709 1.517 1.688
Cd -1.998 2.007 0.219
Be -0.730 -0.895 1.544
Nb -1.020 2.629 3.451
Br 0.000 0.000 0.000
CELL_PARAMETERS angstrom
-3.996 4.015 0.438
-1.461 -1.791 3.088
3.418 3.034 3.376
! N(E_F) = 3.7 states/eV per cell
! M_tot = 2.05 μB per cell
! formation energy without anion corrections = 6.600 eV/f.u.
! space group = P4/mmm, No. 123